## TbPm2Sn2 (PBE-GGA)

Data for an optimized crystal structure of TbPm2Sn2.

Geometry as CIF:
```
data_TbPm2Sn2
_chemical_formula_sum 'Tb2 Pm4 Sn4'
_cell_length_a 8.170
_cell_length_b 8.170
_cell_length_c 4.501
_cell_angle_alpha 90.00
_cell_angle_beta 90.00
_cell_angle_gamma 90.00
_symmetry_space_group_name_H-M 'P 4/m b m'
_symmetry_Int_Tables_number 127
_symmetry_space_group_name_Hall '-P 4 2ab'
loop_
_atom_site_label
_atom_site_type_symbol
_atom_site_fract_x
_atom_site_fract_y
_atom_site_fract_z
Tb1 Tb 0.000 0.000 0.000
Pm1 Pm 0.171 0.329 0.500
Sn1 Sn 0.131 0.631 0.000
```

Summary:
The calculated volume is 300 Å³/cell. As for the energy: -0.378 Ry/atom. The value obtained for the formation enthalpy at 0 K is -0.71 eV/atom.